Compound: HoWO5
Source: Alexandria
Functional: PBE with a Hubbard U
Structure: relaxed

a b c (Å): 12.7185 5.3089 6.9685
angles (deg): 62.57 90.00 90.00
Atoms (fractional coordinates):
O 0.7262 0.7871 0.2116
O 0.4294 0.9916 0.1574
O 0.0842 0.4922 0.5548
O 0.0683 0.3237 0.9639
O 0.9294 0.0084 0.3426
O 0.2262 0.2129 0.2884
O 0.5706 0.0084 0.8426
O 0.4158 0.4922 0.0548
O 0.6413 0.2198 0.4180
O 0.4317 0.3237 0.4639
O 0.3587 0.7802 0.5820
O 0.9317 0.6763 0.0361
O 0.5842 0.5078 0.9452
O 0.9158 0.5078 0.4452
O 0.1413 0.7802 0.0820
O 0.8587 0.2198 0.9180
O 0.7738 0.7871 0.7116
O 0.5683 0.6763 0.5361
O 0.0706 0.9916 0.6574
O 0.2738 0.2129 0.7884
W 0.1372 0.1200 0.8429
W 0.8628 0.8800 0.1571
W 0.6372 0.8800 0.6571
W 0.3628 0.1200 0.3429
Ho 0.9437 0.6424 0.7160
Ho 0.5563 0.6424 0.2160
Ho 0.4437 0.3576 0.7840
Ho 0.0563 0.3576 0.2840

## Properties
SG	P2_1/c (14)
relative energy among the computed polymorphs	33	meV per atom